[1]
Compound: Ac4Sm4Y3
Source: the Alexandria database
Functional: PBE
Structure: optimized geometry

```
data_Ac4Sm4Y3
_cell_length_a 3.706
_cell_length_b 5.837
_cell_length_c 19.205
_cell_angle_alpha 98.71
_cell_angle_beta 90.07
_cell_angle_gamma 90.00
_symmetry_space_group_name_H-M 'P 1'
_symmetry_Int_Tables_number 1
loop_
_symmetry_equiv_pos_as_xyz
'x,y,z'
loop_
_atom_site_label
_atom_site_type_symbol
_atom_site_fract_x
_atom_site_fract_y
_atom_site_fract_z
Ac1 Ac 0.000 0.000 0.000
Ac2 Ac 0.000 0.369 0.737
Ac3 Ac 0.498 0.558 0.115
Ac4 Ac 0.500 0.185 0.372
Sm1 Sm 0.499 0.822 0.646
Sm2 Sm 0.500 0.459 0.917
Sm3 Sm 0.999 0.099 0.198
Sm4 Sm 0.999 0.741 0.482
Y1 Y 0.500 0.279 0.559
Y2 Y 0.500 0.913 0.826
Y3 Y 0.999 0.645 0.290
```

## Properties
**E_tot**: -4.917 eV/atom
**V**: 37.33 Å³ per atom

[2]
Compound: Ac2Sm7Y2
Source: the Alexandria database
Functional: PBE
Structure: optimized geometry

```
data_Ac2Sm7Y2
_cell_length_a 6.896
_cell_length_b 12.463
_cell_length_c 9.606
_cell_angle_alpha 90.00
_cell_angle_beta 90.00
_cell_angle_gamma 90.00
_symmetry_space_group_name_H-M 'C m m m'
_symmetry_Int_Tables_number 65
_symmetry_space_group_name_Hall '-C 2 2'
loop_
_atom_site_label
_atom_site_type_symbol
_atom_site_fract_x
_atom_site_fract_y
_atom_site_fract_z
Ac1 Ac 0.249 0.000 0.000
Sm1 Sm 0.000 0.000 0.500
Sm2 Sm 0.000 0.500 0.325
Sm3 Sm 0.250 0.250 0.188
Y1 Y 0.000 0.266 0.500
```

## Properties
**E_tot**: -4.560 eV/atom
**ΔE to the lowest computed polymorph**: 3.45 kJ per mole of atoms
**V**: 37.53 Å³ per atom

[3]
Compound: Ac12Sm3Y
Source: the Alexandria database
Functional: PBE
Structure: optimized geometry

```
data_Ac12Sm3Y
_cell_length_a 5.519
_cell_length_b 5.519
_cell_length_c 22.003
_cell_angle_alpha 90.00
_cell_angle_beta 90.00
_cell_angle_gamma 90.00
_symmetry_space_group_name_H-M 'P 4/m m m'
_symmetry_Int_Tables_number 123
_symmetry_space_group_name_Hall '-P 4 2'
loop_
_atom_site_label
_atom_site_type_symbol
_atom_site_fract_x
_atom_site_fract_y
_atom_site_fract_z
Ac1 Ac 0.000 0.000 0.000
Ac2 Ac 0.000 0.000 0.250
Ac3 Ac 0.000 0.000 0.500
Ac4 Ac 0.000 0.500 0.124
Ac5 Ac 0.000 0.500 0.375
Sm1 Sm 0.500 0.500 0.249
Sm2 Sm 0.500 0.500 0.500
Y1 Y 0.500 0.500 0.000
```

## Properties
**E_tot**: -4.342 eV/atom
**V**: 41.89 Å³ per atom

[4]
Compound: AcSm10Y4
Source: the Alexandria database
Functional: PBE
Structure: optimized geometry

```
data_AcSm10Y4
_cell_length_a 12.815
_cell_length_b 12.815
_cell_length_c 6.853
_cell_angle_alpha 90.00
_cell_angle_beta 90.00
_cell_angle_gamma 90.00
_symmetry_space_group_name_H-M 'I 4/m'
_symmetry_Int_Tables_number 87
_symmetry_space_group_name_Hall '-I 4'
loop_
_atom_site_label
_atom_site_type_symbol
_atom_site_fract_x
_atom_site_fract_y
_atom_site_fract_z
Ac1 Ac 0.000 0.000 0.000
Sm1 Sm 0.000 0.500 0.250
Sm2 Sm 0.129 0.709 0.249
Y1 Y 0.067 0.180 0.500
```

## Properties
**E_tot**: -4.645 eV/atom
**V**: 37.51 Å³ per atom

[5]
Compound: AcSm2Y5
Source: the Alexandria database
Functional: PBE
Structure: optimized geometry

```
data_AcSm2Y5
_cell_length_a 11.766
_cell_length_b 12.596
_cell_length_c 7.306
_cell_angle_alpha 90.00
_cell_angle_beta 90.00
_cell_angle_gamma 90.00
_symmetry_space_group_name_H-M 'P b a m'
_symmetry_Int_Tables_number 55
loop_
_symmetry_equiv_pos_as_xyz
'x,y,z'
'-x,-y,-z'
'-x,-y,z'
'x,y,-z'
'x+1/2,-y+1/2,-z'
'-x+1/2,y+1/2,z'
'-x+1/2,y+1/2,-z'
'x+1/2,-y+1/2,z'
loop_
_atom_site_label
_atom_site_type_symbol
_atom_site_fract_x
_atom_site_fract_y
_atom_site_fract_z
Ac1 Ac 0.000 0.250 0.000
Sm1 Sm 0.000 0.000 0.255
Sm2 Sm 0.000 0.251 0.500
Y1 Y 0.000 0.500 0.255
Y2 Y 0.249 0.081 0.000
Y3 Y 0.250 0.084 0.500
Y4 Y 0.250 0.333 0.254
```

## Properties
**E_tot**: -5.721 eV/atom
**ΔE to the lowest computed polymorph**: 0.00 kJ per mole of atoms
**V**: 33.84 Å³ per atom

[6]
Compound: Ac2SmY3
Source: the Alexandria database
Functional: PBE
Structure: optimized geometry

```
data_Ac2SmY3
_cell_length_a 16.328
_cell_length_b 7.626
_cell_length_c 7.506
_cell_angle_alpha 90.00
_cell_angle_beta 103.29
_cell_angle_gamma 90.00
_symmetry_space_group_name_H-M 'C 1 2/c 1'
_symmetry_Int_Tables_number 15
loop_
_symmetry_equiv_pos_as_xyz
'x,y,z'
'-x,-y,-z'
'-x,y,-z+1/2'
'x,-y,z+1/2'
'x+1/2,y+1/2,z'
'-x+1/2,-y+1/2,-z'
'-x+1/2,y+1/2,-z+1/2'
'x+1/2,-y+1/2,z+1/2'
loop_
_atom_site_label
_atom_site_type_symbol
_atom_site_fract_x
_atom_site_fract_y
_atom_site_fract_z
Ac1 Ac 0.182 0.002 0.092
Sm1 Sm 0.000 0.211 0.750
Y1 Y 0.000 0.210 0.250
Y2 Y 0.116 0.499 0.558
```

## Properties
**E_tot**: -5.246 eV/atom
**V**: 37.90 Å³ per atom

[7]
Compound: Ac3Sm2Y3
Source: the Alexandria database
Functional: PBE
Structure: optimized geometry

```
data_Ac3Sm2Y3
_cell_length_a 10.1744
_cell_length_b 10.1744
_cell_length_c 6.7958
_cell_angle_alpha 90.00
_cell_angle_beta 90.00
_cell_angle_gamma 120.00
_symmetry_space_group_name_H-M 'P 63/m c m'
_symmetry_Int_Tables_number 193
_symmetry_space_group_name_Hall '-P 6c 2'
loop_
_atom_site_label
_atom_site_type_symbol
_atom_site_fract_x
_atom_site_fract_y
_atom_site_fract_z
Ac1 Ac 0.0000 0.2325 0.2500
Sm1 Sm 0.3333 0.6667 0.0000
Y1 Y 0.0000 0.4138 0.7500
```

## Properties
**E_tot**: -4.957 eV/atom
**V**: 38.08 Å³ per atom

[8]
Compound: Ac3SmY8
Source: the Alexandria database
Functional: PBE
Structure: optimized geometry

```
data_Ac3SmY8
_cell_length_a 6.569
_cell_length_b 11.693
_cell_length_c 11.890
_cell_angle_alpha 90.00
_cell_angle_beta 90.00
_cell_angle_gamma 90.00
_symmetry_space_group_name_H-M 'I m m m'
_symmetry_Int_Tables_number 71
_symmetry_space_group_name_Hall '-I 2 2'
loop_
_atom_site_label
_atom_site_type_symbol
_atom_site_fract_x
_atom_site_fract_y
_atom_site_fract_z
Ac1 Ac 0.000 0.000 0.000
Ac2 Ac 0.000 0.245 0.500
Sm1 Sm 0.000 0.500 0.000
Y1 Y 0.000 0.251 0.174
Y2 Y 0.247 0.000 0.259
```

## Properties
**E_tot**: -5.474 eV/atom
**V**: 38.05 Å³ per atom